# PBE with a Hubbard U Eu2Mn3Sb3O14, relaxed
data_Eu2Mn3Sb3O14
_symmetry_space_group_name_H-M 'P 1'
_symmetry_Int_Tables_number 1
_cell_length_a 7.271
_cell_length_b 7.271
_cell_length_c 7.362
_cell_angle_alpha 60.54
_cell_angle_beta 60.54
_cell_angle_gamma 60.31
loop_
_symmetry_equiv_pos_as_xyz
'x,y,z'
loop_
_atom_site_label
_atom_site_fract_x
_atom_site_fract_y
_atom_site_fract_z
O1 0.575 0.169 0.173
O2 0.425 0.831 0.827
O3 0.573 0.573 0.178
O4 0.141 0.141 0.113
O5 0.169 0.575 0.173
O6 0.181 0.575 0.569
O7 0.169 0.169 0.580
O8 0.831 0.425 0.827
O9 0.575 0.181 0.569
O10 0.859 0.859 0.887
O11 0.427 0.427 0.822
O12 0.831 0.831 0.420
O13 0.819 0.425 0.431
O14 0.425 0.819 0.431
Eu1 0.000 0.000 0.000
Eu2 0.000 0.000 0.500
Sb1 0.500 0.500 0.000
Sb2 0.500 0.000 0.500
Sb3 0.000 0.500 0.500
Mn1 0.500 0.000 0.000
Mn2 0.000 0.500 0.000
Mn3 0.500 0.500 0.500
# Uncorrected energy (eV for the cell shown): -165.29